No. 1
IrCS2N: relaxed, PBE.

a = 5.4587 Å, b = 5.4587 Å, c = 2.4338 Å
α = 90.00°, β = 90.00°, γ = 90.00°
Closest atoms and distances in Å follow each position.
Element x y z (fractional)
S (0.0000, 0.5000, 0.0000)  2 S 2.43
S (0.5000, 0.0000, 0.0000)  2 S 2.43
Ir (0.5000, 0.5000, 0.5000)  2 Ir 2.43
C (0.0000, 0.0000, 0.0000)  2 N 1.22
N (0.0000, 0.0000, 0.5000)  2 C 1.22

- SG = No. 123
- energy relative to the elements, uncorrected (meV/atom) = 1223
- offset from the most stable computed form (meV/atom) = 0



No. 2
BaSiNF2: relaxed, PBE.

a = 4.5728 Å, b = 4.5728 Å, c = 3.5711 Å
α = 90.00°, β = 90.00°, γ = 90.00°
Closest atoms and distances in Å follow each position.
Element x y z (fractional)
Si (0.0000, 0.0000, 0.0000)  2 N 1.79
N (0.0000, 0.0000, 0.5000)  2 Si 1.79
Ba (0.5000, 0.5000, 0.5000)  8 F 2.90, 4 N 3.23
F (0.0000, 0.5000, 0.0000)  2 Si 2.29
F (0.5000, 0.0000, 0.0000)  2 Si 2.29

- SG = No. 123
- energy relative to the elements, uncorrected (meV/atom) = -1772
- offset from the most stable computed form (meV/atom) = 0



No. 3
CaRhIO2: relaxed, PBE.

a = 4.2463 Å, b = 4.2463 Å, c = 6.6360 Å
α = 90.00°, β = 90.00°, γ = 90.00°
Closest atoms and distances in Å follow each position.
Element x y z (fractional)
I (0.0000, 0.0000, 0.5000)  4 Rh 3.00, 2 Ca 3.32
Ca (0.0000, 0.0000, 0.0000)  4 O 2.12
Rh (0.5000, 0.5000, 0.5000)  4 I 3.00
O (0.0000, 0.5000, 0.0000)  2 Ca 2.12
O (0.5000, 0.0000, 0.0000)  2 Ca 2.12

- SG = No. 123
- energy relative to the elements, uncorrected (meV/atom) = -104
- offset from the most stable computed form (meV/atom) = 551



No. 4
SiPRu2Br: relaxed, PBE.

a = 4.5312 Å, b = 4.8217 Å, c = 4.5312 Å
α = 90.00°, β = 90.00°, γ = 90.00°
Closest atoms and distances in Å follow each position.
Element x y z (fractional)
Ru (0.0000, 0.0000, 0.5000)  2 Si 2.27
Ru (0.5000, 0.0000, 0.0000)  2 Si 2.27
Si (0.0000, 0.0000, 0.0000)  4 Ru 2.27, 2 Br 2.41
Br (0.0000, 0.5000, 0.0000)  2 Si 2.41
P (0.5000, 0.5000, 0.5000)  4 Br 3.20, 8 Ru 3.31

- SG = No. 123
- energy relative to the elements, uncorrected (meV/atom) = 1352



No. 5
SrNiBr2: relaxed, PBE.

a = 5.4320 Å, b = 5.4320 Å, c = 5.4320 Å
α = 136.07°, β = 115.55°, γ = 81.29°
Closest atoms and distances in Å follow each position.
Element x y z (fractional)
Br (0.9458, 0.9458, 0.0000)  2 Ni 2.59
Br (0.5542, 0.5542, 0.0000)  2 Ni 2.59
Ni (0.7500, 0.2500, 0.5000)  4 Br 2.59
Sr (0.2500, 0.7500, 0.5000)  8 Br 3.23-3.32, 4 Ni 3.54

- SG = No. 71
- energy relative to the elements, uncorrected (meV/atom) = -760
- offset from the most stable computed form (meV/atom) = 236



No. 6
TbTh: relaxed, PBE.

a = 6.1614 Å, b = 6.1614 Å, c = 6.1614 Å
α = 33.58°, β = 33.58°, γ = 33.58°
Closest atoms and distances in Å follow each position.
Element x y z (fractional)
Tb (0.0000, 0.0000, 0.0000)  6 Th 3.56, 6 Tb 3.56
Th (0.5000, 0.5000, 0.5000)  6 Tb 3.56, 6 Th 3.56

- SG = No. 166
- formation energy (eV per atom) = 0.04
- offset from the most stable computed form (meV/atom) = 31



No. 7
BaTa4Be: relaxed, PBE.

a = 5.6932 Å, b = 5.6932 Å, c = 5.6932 Å
α = 60.00°, β = 60.00°, γ = 60.00°
Closest atoms and distances in Å follow each position.
Element x y z (fractional)
Ba (0.7500, 0.7500, 0.7500)  12 Ta 3.34, 4 Be 3.49
Ta (0.8735, 0.3755, 0.3755)  6 Ta 2.83-2.86
Ta (0.3755, 0.3755, 0.8735)  6 Ta 2.83-2.86
Ta (0.3755, 0.8735, 0.3755)  6 Ta 2.83-2.86
Ta (0.3755, 0.3755, 0.3755)  6 Ta 2.83-2.86
Be (0.0000, 0.0000, 0.0000)  12 Ta 3.34, 4 Ba 3.49

- SG = No. 216
- formation energy (eV per atom) = 1.07



No. 8
FeTcBr2: relaxed, PBE.

a = 5.6463 Å, b = 5.6463 Å, c = 6.8158 Å
α = 65.53°, β = 65.53°, γ = 90.00°
Closest atoms and distances in Å follow each position.
Element x y z (fractional)
Tc (0.0000, 0.0000, 0.0000)  4 Br 2.47
Tc (0.7500, 0.2500, 0.5000)  4 Br 2.47
Br (0.6122, 0.1250, 0.2500)  2 Fe 2.39, 2 Tc 2.47
Br (0.1378, 0.6250, 0.2500)  2 Fe 2.39, 2 Tc 2.47
Br (0.3750, 0.3878, 0.7500)  2 Fe 2.39, 2 Tc 2.47
Br (0.8750, 0.8622, 0.7500)  2 Fe 2.39, 2 Tc 2.47
Fe (0.5000, 0.5000, 0.0000)  4 Br 2.39
Fe (0.2500, 0.7500, 0.5000)  4 Br 2.39

- SG = No. 122
- energy relative to the elements, uncorrected (meV/atom) = 848
- offset from the most stable computed form (meV/atom) = 694



No. 9
Cs2CrSiS4: relaxed, PBE.

a = 5.9613 Å, b = 7.6714 Å, c = 12.6054 Å
α = 84.73°, β = 76.32°, γ = 67.14°
Closest atoms and distances in Å follow each position.
Element x y z (fractional)
Cs (0.1760, 0.0000, 0.6480)  8 S 3.66-3.95
Cs (0.8240, 0.0000, 0.3520)  8 S 3.66-3.95
Cs (0.5740, 0.5000, 0.8520)  8 S 3.66-3.95
Cs (0.9260, 0.5000, 0.1480)  8 S 3.66-3.95
Cr (0.7500, 0.5000, 0.5000)  4 S 2.38
Cr (0.0000, 0.0000, 0.0000)  4 S 2.38
Si (0.2500, 0.5000, 0.5000)  4 S 2.15
Si (0.5000, 0.0000, 0.0000)  4 S 2.15
S (0.3242, 0.8198, 0.0920)  1 Si 2.15, 1 Cr 2.38
S (0.2360, 0.1802, 0.9080)  1 Si 2.15, 1 Cr 2.38
S (0.8560, 0.8198, 0.9080)  1 Si 2.15, 1 Cr 2.38
S (0.5838, 0.1802, 0.0920)  1 Si 2.15, 1 Cr 2.38
S (0.4258, 0.6802, 0.4080)  1 Si 2.15, 1 Cr 2.38
S (0.5140, 0.3198, 0.5920)  1 Si 2.15, 1 Cr 2.38
S (0.8940, 0.6802, 0.5920)  1 Si 2.15, 1 Cr 2.38
S (0.1662, 0.3198, 0.4080)  1 Si 2.15, 1 Cr 2.38

- SG = No. 70
- energy relative to the elements, uncorrected (meV/atom) = -935



No. 10
La6DyHoTm2: relaxed, PBE.

a = 9.7690 Å, b = 9.0094 Å, c = 9.0094 Å
α = 117.79°, β = 94.35°, γ = 94.35°
Closest atoms and distances in Å follow each position.
Element x y z (fractional)
La (0.0521, 0.1090, 0.7611)  7 La 3.46-3.88, 2 Tm 3.49-3.85, 2 Dy 3.65-3.84
La (0.4479, 0.2389, 0.8910)  7 La 3.46-3.88, 2 Tm 3.49-3.85, 2 Dy 3.65-3.84
La (0.9479, 0.8910, 0.2389)  7 La 3.46-3.88, 2 Tm 3.49-3.85, 2 Dy 3.65-3.84
La (0.5521, 0.7611, 0.1090)  7 La 3.46-3.88, 2 Tm 3.49-3.85, 2 Dy 3.65-3.84
La (0.3070, 0.9967, 0.4389)  3 La 3.32-3.70, 1 Ho 3.44, 1 Tm 3.55, 1 Dy 3.62
La (0.1930, 0.5611, 0.0033)  3 La 3.32-3.70, 1 Ho 3.44, 1 Tm 3.55, 1 Dy 3.62
La (0.6930, 0.0033, 0.5611)  3 La 3.32-3.70, 1 Ho 3.44, 1 Tm 3.55, 1 Dy 3.62
La (0.8070, 0.4389, 0.9967)  3 La 3.32-3.70, 1 Ho 3.44, 1 Tm 3.55, 1 Dy 3.62
La (0.1201, 0.7044, 0.4908)  3 La 3.32-3.46, 3 Tm 3.33-3.50, 2 Ho 3.44-3.61
La (0.3799, 0.5092, 0.2956)  3 La 3.32-3.46, 3 Tm 3.33-3.50, 2 Ho 3.44-3.61
La (0.8799, 0.2956, 0.5092)  3 La 3.32-3.46, 3 Tm 3.33-3.50, 2 Ho 3.44-3.61
La (0.6201, 0.4908, 0.7044)  3 La 3.32-3.46, 3 Tm 3.33-3.50, 2 Ho 3.44-3.61
Dy (0.2500, 0.9733, 0.0267)  4 Tm 3.42-3.43, 4 La 3.62-3.65
Dy (0.7500, 0.0267, 0.9733)  4 Tm 3.42-3.43, 4 La 3.62-3.65
Ho (0.2500, 0.4120, 0.5880)  6 La 3.44-3.61, 2 Tm 3.54
Ho (0.7500, 0.5880, 0.4120)  6 La 3.44-3.61, 2 Tm 3.54
Tm (0.4536, 0.8021, 0.7086)  5 La 3.33-3.55, 2 Dy 3.42-3.43, 1 Ho 3.54
Tm (0.0464, 0.2914, 0.1979)  5 La 3.33-3.55, 2 Dy 3.42-3.43, 1 Ho 3.54
Tm (0.5464, 0.1979, 0.2914)  5 La 3.33-3.55, 2 Dy 3.42-3.43, 1 Ho 3.54
Tm (0.9536, 0.7086, 0.8021)  5 La 3.33-3.55, 2 Dy 3.42-3.43, 1 Ho 3.54

- SG = No. 15
- formation energy (eV per atom) = 0.11



No. 11
K2InSe2O6: relaxed, PBE.

a = 5.9990 Å, b = 5.9990 Å, c = 8.7601 Å
α = 69.98°, β = 69.98°, γ = 60.00°
Closest atoms and distances in Å follow each position.
Element x y z (fractional)
K (0.7191, 0.7191, 0.8427)  9 O 3.01-3.11
K (0.2809, 0.2809, 0.1573)  9 O 3.01-3.11
In (0.0000, 0.0000, 0.0000)  6 O 2.35
Se (0.4221, 0.4221, 0.7338)  3 O 1.74
Se (0.5779, 0.5779, 0.2662)  3 O 1.74
O (0.7602, 0.7602, 0.1756)  1 Se 1.74
O (0.3041, 0.7602, 0.1756)  1 Se 1.74
O (0.7602, 0.3041, 0.1756)  1 Se 1.74
O (0.2398, 0.6959, 0.8244)  1 Se 1.74
O (0.6959, 0.2398, 0.8244)  1 Se 1.74
O (0.2398, 0.2398, 0.8244)  1 Se 1.74

- SG = No. 166
- energy relative to the elements, uncorrected (meV/atom) = -1153



No. 12
LaEuTlPt: relaxed, PBE.

a = 5.3652 Å, b = 5.3652 Å, c = 5.3652 Å
α = 60.00°, β = 60.00°, γ = 60.00°
Closest atoms and distances in Å follow each position.
Element x y z (fractional)
Eu (0.0000, 0.0000, 0.0000)  4 Tl 3.29, 4 Pt 3.29
Tl (0.7500, 0.7500, 0.7500)  4 Eu 3.29, 4 La 3.29
Pt (0.2500, 0.2500, 0.2500)  4 La 3.29, 4 Eu 3.29
La (0.5000, 0.5000, 0.5000)  4 Pt 3.29, 4 Tl 3.29

- SG = No. 216
- formation energy (eV per atom) = -0.61



It is found that the total magnetic moment values, taken in the order of the records, are 0.00 0.00 3.36 1.70 0.08 0.00 0.00 3.99 8.00 0.00 0.00 7.07 Bohr magnetons per cell.
It is found that the electronic total energy values, taken in the order of the records, are -5.7096 -5.6546 -4.2682 -4.8599 -3.4625 -5.9851 -7.7768 -4.6961 -5.0927 -4.6600 -4.9394 -6.5147 eV/atom.